Record 1
A relaxed Mn2AsSe crystal, computed with PBE-GGA.

abc: 3.2499 3.3717 6.4670
angles: 89.98 90.00 90.00
Atoms (fractional coordinates):
Mn  0.0000  0.2496  0.9511
Mn  0.0000  0.2504  0.5489
As  0.5000  0.7500  0.7500
Se  0.5000  0.2500  0.2500

Output
formation energy without anion corrections: -0.016 eV/atom
VASP energy: -6.63 eV per atom
symmetry: Pmmm, No. 47


Record 2
A relaxed La2In3 crystal, computed with PBE-GGA.

abc: 6.3882 6.3882 8.5646
angles: 90.00 90.00 59.95
Atoms (fractional coordinates):
In  0.3649  0.8649  0.2500
La  0.6477  0.6477  0.9000
In  0.6351  0.1351  0.7500
La  0.8523  0.8523  0.4000
In  0.5000  0.5000  0.5000
La  0.1477  0.1477  0.6000
La  0.3523  0.3523  0.1000
In  0.1351  0.6351  0.7500
In  0.0000  0.0000  0.0000
In  0.8649  0.3649  0.2500

Output
VASP energy: -4.07 eV per atom
offset from the most stable computed form: 38 meV/atom
symmetry: Cmce, No. 64


Record 3
A relaxed Ni3RhS6 crystal, computed with PBE-GGA.

abc: 5.8715 5.8715 6.1706
angles: 61.59 61.59 60.00
Atoms (fractional coordinates):
Ni  0.1524  0.1524  0.5429
S  0.5446  0.2608  0.2477
S  0.7534  0.0534  0.7567
Ni  0.6528  0.6528  0.0416
S  0.2608  0.9470  0.2477
Ni  0.3491  0.3491  0.9528
S  0.0534  0.4365  0.7567
S  0.4365  0.7534  0.7567
S  0.9470  0.5446  0.2477
Rh  0.8501  0.8501  0.4497

Output
formation energy without anion corrections: -0.309 eV/atom
VASP energy: -5.26 eV per atom
symmetry: R3, No. 146


Record 4
A relaxed DyHo2TcN4 crystal, computed with PBE-GGA.

abc: 3.3968 6.0170 11.5426
angles: 90.00 90.00 106.40
Atoms (fractional coordinates):
N  0.0000  0.0000  0.5000
N  0.5482  0.0964  0.2500
N  0.2640  0.5281  0.1301
Tc  0.8672  0.7344  0.7500
N  0.0000  0.0000  0.0000
Ho  0.6316  0.2632  0.0395
N  0.2640  0.5281  0.3698
Dy  0.1327  0.2654  0.7500
N  0.7360  0.4719  0.8698
N  0.7360  0.4719  0.6302
Tc  0.1328  0.2656  0.2500
N  0.4518  0.9036  0.7500
Dy  0.8673  0.7346  0.2500
Ho  0.3684  0.7368  0.5395
Ho  0.6316  0.2632  0.4605
Ho  0.3684  0.7368  0.9605

Output
formation energy without anion corrections: -1.108 eV/atom
VASP energy: -8.29 eV per atom
symmetry: Cmcm, No. 63


Record 5
A relaxed BaCeDy4S8 crystal, computed with PBE-GGA.

abc: 8.2486 8.2486 8.3385
angles: 60.36 60.36 60.00
Atoms (fractional coordinates):
S  0.8036  0.2369  0.7226
Dy  0.0017  0.0017  0.5009
Dy  0.0017  0.4958  0.5009
S  0.2322  0.2322  0.3035
Ce  0.0007  0.0007  0.9979
S  0.7508  0.2325  0.2658
S  0.7508  0.7508  0.2658
S  0.2325  0.7508  0.2658
Ba  0.3742  0.3742  0.8774
S  0.2369  0.2369  0.7226
Dy  0.4958  0.0017  0.5009
Dy  0.6252  0.6252  0.1245
S  0.7570  0.7570  0.7290
S  0.2369  0.8036  0.7226

Output
formation energy without anion corrections: -1.948 eV/atom
VASP energy: -6.18 eV per atom
symmetry: R3m, No. 160


Record 6
A relaxed Sb2SeS crystal, computed with PBE-GGA.

abc: 3.7597 3.7597 8.3083
angles: 76.92 76.92 60.00
Atoms (fractional coordinates):
Sb  0.0799  0.0799  0.7604
S  0.6718  0.6718  0.9847
Se  0.4949  0.4949  0.5152
Sb  0.2534  0.2534  0.2397

Output
formation energy without anion corrections: 0.018 eV/atom
VASP energy: -3.95 eV per atom
offset from the most stable computed form: 42 meV/atom
symmetry: R3m, No. 160


Record 7
A relaxed PuCd3Hg3 crystal, computed with PBE-GGA.

abc: 5.5349 8.7337 8.7337
angles: 120.00 90.00 90.00
Atoms (fractional coordinates):
Cd  0.7500  0.5482  0.4539
Pu  0.2500  0.6667  0.3333
Cd  0.2500  0.0942  0.5482
Hg  0.2500  0.8764  0.7553
Cd  0.7500  0.9058  0.4518
Hg  0.2500  0.8789  0.1236
Hg  0.7500  0.7553  0.8789
Cd  0.7500  0.5461  0.0942
Hg  0.7500  0.1211  0.8764
Pu  0.7500  0.3333  0.6667
Hg  0.7500  0.1236  0.2447
Cd  0.2500  0.4539  0.9058
Hg  0.2500  0.2447  0.1211
Cd  0.2500  0.4518  0.5461

Output
VASP energy: -2.58 eV per atom
offset from the most stable computed form: 17 meV/atom
symmetry: P6_3/m, No. 176


Record 8
A relaxed Ho2Er3Sc2 crystal, computed with PBE-GGA.

abc: 5.1420 3.4210 11.8294
angles: 90.00 77.45 90.00
Atoms (fractional coordinates):
Ho  0.5751  0.5000  0.8499
Er  0.1560  0.0000  0.6881
Ho  0.4249  0.5000  0.1501
Er  0.0000  0.0000  0.0000
Er  0.8440  0.0000  0.3119
Sc  0.7163  0.5000  0.5675
Sc  0.2837  0.5000  0.4325

Output
VASP energy: -5.04 eV per atom
offset from the most stable computed form: 0 meV/atom
symmetry: Cmmm, No. 65


Record 9
A relaxed Pm2InRu crystal, computed with PBE-GGA.

abc: 3.4395 3.4395 8.6026
angles: 90.00 90.00 90.00
Atoms (fractional coordinates):
Pm  0.0000  0.0000  0.2025
Pm  0.0000  0.0000  0.7975
Ru  0.5000  0.5000  0.0000
In  0.5000  0.5000  0.5000

Output
VASP energy: -5.72 eV per atom
offset from the most stable computed form: 0 meV/atom
symmetry: P4/mmm, No. 123


Record 10
A relaxed LiTiCu2 crystal, computed with PBE-GGA.

abc: 2.6893 2.6893 9.0303
angles: 81.44 81.44 60.00
Atoms (fractional coordinates):
Cu  0.7511  0.7511  0.7466
Cu  0.2489  0.2489  0.2534
Li  0.5000  0.5000  0.5000
Ti  0.0000  0.0000  0.0000

Output
VASP energy: -4.44 eV per atom
symmetry: R-3m, No. 166


Record 11
A relaxed Tm4CoAu crystal, computed with PBE-GGA.

abc: 5.9711 7.3201 7.3201
angles: 110.68 98.28 98.28
Atoms (fractional coordinates):
Au  0.7500  0.6298  0.3702
Co  0.7500  0.0013  0.9987
Au  0.2500  0.3702  0.6298
Tm  0.9640  0.0668  0.7303
Tm  0.0840  0.3759  0.2176
Tm  0.4160  0.7824  0.6241
Tm  0.5840  0.2176  0.3759
Tm  0.9160  0.6241  0.7824
Tm  0.4640  0.7303  0.0668
Co  0.2500  0.9987  0.0013
Tm  0.5360  0.2697  0.9332
Tm  0.0360  0.9332  0.2697

Output
VASP energy: -5.14 eV per atom
offset from the most stable computed form: 0 meV/atom
symmetry: C2/c, No. 15


Record 12
A relaxed BaLi2LaRh crystal, computed with PBE-GGA.

abc: 5.3842 5.3842 5.1411
angles: 90.00 90.00 90.00
Atoms (fractional coordinates):
Li  0.0000  0.5000  0.0000
Rh  0.0000  0.0000  0.0000
Li  0.5000  0.0000  0.0000
La  0.0000  0.0000  0.5000
Ba  0.5000  0.5000  0.5000

Output
VASP energy: -3.72 eV per atom
symmetry: P4/mmm, No. 123


Record 13
A relaxed Ba2NaHgH crystal, computed with PBE-GGA.

abc: 5.7774 5.7774 4.6703
angles: 90.00 90.00 90.00
Atoms (fractional coordinates):
Ba  0.0000  0.5000  0.0000
H  0.0000  0.0000  0.0000
Hg  0.5000  0.5000  0.5000
Na  0.0000  0.0000  0.5000
Ba  0.5000  0.0000  0.0000

Output
VASP energy: -2.09 eV per atom
offset from the most stable computed form: 0 meV/atom
symmetry: P4/mmm, No. 123


Record 14
A relaxed Ca2TiRu crystal, computed with PBE-GGA.

abc: 5.0168 5.0168 5.0168
angles: 60.00 60.00 60.00
Atoms (fractional coordinates):
Ti  0.0000  0.0000  0.0000
Ca  0.2500  0.2500  0.2500
Ca  0.7500  0.7500  0.7500
Ru  0.5000  0.5000  0.5000

Output
VASP energy: -4.63 eV per atom
offset from the most stable computed form: 247 meV/atom
symmetry: Fm-3m, No. 225


Record 15
A relaxed AgPdBr3 crystal, computed with PBE-GGA.

abc: 6.7755 11.7258 11.7258
angles: 88.42 63.59 63.59
Atoms (fractional coordinates):
Pd  0.0032  0.8135  0.6770
Ag  0.2500  0.8646  0.1354
Br  0.1800  0.6546  0.0122
Br  0.6414  0.3837  0.3254
Br  0.6778  0.7141  0.9451
Br  0.8586  0.6746  0.6163
Pd  0.5032  0.6770  0.8135
Ag  0.7500  0.1354  0.8646
Br  0.8222  0.0549  0.2859
Br  0.1778  0.9451  0.7141
Br  0.8200  0.3454  0.9878
Br  0.6800  0.0122  0.6546
Pd  0.9968  0.1865  0.3230
Ag  0.2500  0.1431  0.8569
Pd  0.4968  0.3230  0.1865
Ag  0.7500  0.8569  0.1431
Br  0.3586  0.6163  0.6746
Br  0.3200  0.9878  0.3454
Br  0.3222  0.2859  0.0549
Br  0.1414  0.3254  0.3837

Output
formation energy without anion corrections: -0.246 eV/atom
VASP energy: -2.86 eV per atom
offset from the most stable computed form: 61 meV/atom
symmetry: C2/c, No. 15


Record 16
A relaxed PmMgZnPt crystal, computed with PBE-GGA.

abc: 4.8729 4.8729 4.8729
angles: 60.00 60.00 60.00
Atoms (fractional coordinates):
Zn  0.2500  0.2500  0.2500
Pt  0.7500  0.7500  0.7500
Mg  0.5000  0.5000  0.5000
Pm  0.0000  0.0000  0.0000

Output
VASP energy: -4.06 eV per atom
symmetry: F-43m, No. 216


Record 17
A relaxed Tm4TeSe3 crystal, computed with PBE-GGA.

abc: 5.7593 8.2908 9.6526
angles: 90.00 90.00 90.00
Atoms (fractional coordinates):
Se  0.0644  0.6703  0.7865
Tm  0.0644  0.8809  0.0000
Se  0.5644  0.3297  0.7135
Tm  0.5644  0.6479  0.1885
Se  0.5644  0.9123  0.0000
Se  0.0644  0.6703  0.2135
Tm  0.5644  0.6479  0.8115
Se  0.0644  0.0877  0.5000
Tm  0.0644  0.7378  0.5000
Te  0.5644  0.7540  0.5000
Tm  0.0644  0.3521  0.6885
Tm  0.5644  0.1191  0.5000
Tm  0.0644  0.3521  0.3115
Te  0.0644  0.2460  0.0000
Se  0.5644  0.3297  0.2865
Tm  0.5644  0.2622  0.0000

Output
formation energy without anion corrections: -1.372 eV/atom
VASP energy: -5.31 eV per atom
offset from the most stable computed form: 191 meV/atom
symmetry: Pmmn, No. 59


Record 18
A relaxed Fe2CuP crystal, computed with PBE-GGA.

abc: 4.6990 4.6990 4.6990
angles: 143.97 130.67 62.59
Atoms (fractional coordinates):
Fe  0.7212  0.2212  0.5000
Cu  0.2732  0.7732  0.5000
P  0.5066  0.5066  0.0000
Fe  0.9991  0.9991  0.0000

Output
VASP energy: -6.62 eV per atom
symmetry: Imm2, No. 44


Record 19
A relaxed CeNdCo crystal, computed with PBE-GGA.

abc: 3.4807 3.4807 6.1925
angles: 106.32 106.32 90.00
Atoms (fractional coordinates):
Co  0.6404  0.6404  0.2809
Nd  0.3214  0.3214  0.6429
Ce  0.0381  0.0381  0.0762

Output
VASP energy: -5.94 eV per atom
offset from the most stable computed form: 115 meV/atom
symmetry: I4mm, No. 107


Record 20
A relaxed Sc2CoS crystal, computed with PBE-GGA.

abc: 7.8610 7.8610 7.8610
angles: 27.22 27.22 27.22
Atoms (fractional coordinates):
Co  0.5000  0.5000  0.5000
Sc  0.8957  0.8957  0.8957
S  0.0000  0.0000  0.0000
Sc  0.1043  0.1043  0.1043

Output
formation energy without anion corrections: -0.315 eV/atom
VASP energy: -6.29 eV per atom
symmetry: R-3m, No. 166